Entry 1:
The following is a DFT calculation (PBE-GGA) of crystalline Zn2PPd2 at its relaxed geometry.

Cell and atoms, written as CIF:
```
data_Zn2PPd2
_cell_length_a 7.2643
_cell_length_b 7.2643
_cell_length_c 2.9300
_cell_angle_alpha 90.00
_cell_angle_beta 90.00
_cell_angle_gamma 90.00
_space_group_name_H-M_alt 'P 1'
_space_group_IT_number 1
loop_
_space_group_symop_operation_xyz
'x,y,z'
loop_
_atom_site_label
_atom_site_fract_x
_atom_site_fract_y
_atom_site_fract_z
P1 0.0000 0.0000 0.0000
P2 0.5000 0.5000 0.0000
Zn1 0.3639 0.8639 0.0000
Zn2 0.8639 0.6361 0.0000
Zn3 0.6361 0.1361 0.0000
Zn4 0.1361 0.3639 0.0000
Pd1 0.1597 0.6597 0.5000
Pd2 0.6597 0.8403 0.5000
Pd3 0.8403 0.3403 0.5000
Pd4 0.3403 0.1597 0.5000
```

Space group: P4/mbm
V: 77 Å³/f.u.
Energy above the most stable polymorph in this dataset: 0.130 eV/atom


Entry 2:
The following is a DFT calculation (PBE-GGA) of crystalline La2WSe at its relaxed geometry.

Cell and atoms, written as CIF:
```
data_La2WSe
_cell_length_a 6.1627
_cell_length_b 6.1627
_cell_length_c 5.0180
_cell_angle_alpha 73.21
_cell_angle_beta 73.21
_cell_angle_gamma 33.19
_space_group_name_H-M_alt 'P 1'
_space_group_IT_number 1
loop_
_space_group_symop_operation_xyz
'x,y,z'
loop_
_atom_site_label
_atom_site_fract_x
_atom_site_fract_y
_atom_site_fract_z
La1 0.9806 0.9806 0.0388
La2 0.7627 0.7627 0.7103
Se1 0.5444 0.5444 0.4932
W1 0.2124 0.2124 0.2578
```

Space group: Cm
V: 99 Å³/f.u.
Energy above the most stable polymorph in this dataset: 0.090 eV/atom


Entry 3:
The following is a DFT calculation (PBE-GGA) of crystalline ZrCrSi2 at its relaxed geometry.

Cell and atoms, written as CIF:
```
data_ZrCrSi2
_cell_length_a 4.7228
_cell_length_b 4.7228
_cell_length_c 2.9321
_cell_angle_alpha 90.00
_cell_angle_beta 90.00
_cell_angle_gamma 107.40
_space_group_name_H-M_alt 'P 1'
_space_group_IT_number 1
loop_
_space_group_symop_operation_xyz
'x,y,z'
loop_
_atom_site_label
_atom_site_fract_x
_atom_site_fract_y
_atom_site_fract_z
Cr1 0.0000 0.5000 0.5000
Si1 0.0000 0.0000 0.0000
Si2 0.5000 0.5000 0.0000
Zr1 0.5000 0.0000 0.5000
```

Space group: Cmmm
V: 62 Å³/f.u.
Energy above the most stable polymorph in this dataset: 0.516 eV/atom


Entry 4:
The following is a DFT calculation (PBE-GGA) of crystalline Hg2TeSe2 at its relaxed geometry.

Cell and atoms, written as CIF:
```
data_Hg2TeSe2
_cell_length_a 8.0516
_cell_length_b 8.0516
_cell_length_c 3.7897
_cell_angle_alpha 90.00
_cell_angle_beta 90.00
_cell_angle_gamma 90.00
_space_group_name_H-M_alt 'P 1'
_space_group_IT_number 1
loop_
_space_group_symop_operation_xyz
'x,y,z'
loop_
_atom_site_label
_atom_site_fract_x
_atom_site_fract_y
_atom_site_fract_z
Te1 0.0000 0.0000 0.0000
Te2 0.5000 0.5000 0.0000
Hg1 0.3623 0.8623 0.0000
Hg2 0.8623 0.6377 0.0000
Hg3 0.6377 0.1377 0.0000
Hg4 0.1377 0.3623 0.0000
Se1 0.1638 0.6637 0.5000
Se2 0.6637 0.8362 0.5000
Se3 0.8362 0.3362 0.5000
Se4 0.3362 0.1638 0.5000
```

Space group: P4/mbm
V: 123 Å³/f.u.
Energy above the most stable polymorph in this dataset: 0.267 eV/atom


Entry 5:
The following is a DFT calculation (PBE-GGA) of crystalline YHf2BMo at its relaxed geometry.

Cell and atoms, written as CIF:
```
data_YHf2BMo
_cell_length_a 5.1657
_cell_length_b 4.5997
_cell_length_c 5.1657
_cell_angle_alpha 90.00
_cell_angle_beta 90.00
_cell_angle_gamma 90.00
_space_group_name_H-M_alt 'P 1'
_space_group_IT_number 1
loop_
_space_group_symop_operation_xyz
'x,y,z'
loop_
_atom_site_label
_atom_site_fract_x
_atom_site_fract_y
_atom_site_fract_z
Y1 0.0000 0.0000 0.0000
Mo1 0.0000 0.5000 0.0000
B1 0.5000 0.5000 0.5000
Hf1 0.0000 0.0000 0.5000
Hf2 0.5000 0.0000 0.0000
```

E_tot: -6.051 eV/atom
Space group: P4/mmm
V: 123 Å³/f.u.


Entry 6:
The following is a DFT calculation (PBE-GGA) of crystalline CsPu2SbO8 at its relaxed geometry.

Cell and atoms, written as CIF:
```
data_CsPu2SbO8
_cell_length_a 6.2249
_cell_length_b 6.2249
_cell_length_c 8.2216
_cell_angle_alpha 90.00
_cell_angle_beta 90.00
_cell_angle_gamma 120.00
_space_group_name_H-M_alt 'P 1'
_space_group_IT_number 1
loop_
_space_group_symop_operation_xyz
'x,y,z'
loop_
_atom_site_label
_atom_site_fract_x
_atom_site_fract_y
_atom_site_fract_z
Cs1 0.0000 0.0000 0.5000
Pu1 0.3333 0.6667 0.7764
Pu2 0.6667 0.3333 0.2236
Sb1 0.0000 0.0000 0.0000
O1 0.1518 0.3036 0.8582
O2 0.1518 0.8482 0.8582
O3 0.6964 0.8482 0.8582
O4 0.3036 0.1518 0.1418
O5 0.6667 0.3333 0.4523
O6 0.3333 0.6667 0.5477
O7 0.8482 0.6964 0.1418
O8 0.8482 0.1518 0.1418
```

E_tot: -8.063 eV/atom
Space group: P-3m1
V: 276 Å³/f.u.


Entry 7:
The following is a DFT calculation (PBE-GGA) of crystalline MgOsRh2 at its relaxed geometry.

Cell and atoms, written as CIF:
```
data_MgOsRh2
_cell_length_a 3.9253
_cell_length_b 3.9253
_cell_length_c 8.9894
_cell_angle_alpha 77.39
_cell_angle_beta 77.39
_cell_angle_gamma 90.00
_space_group_name_H-M_alt 'P 1'
_space_group_IT_number 1
loop_
_space_group_symop_operation_xyz
'x,y,z'
loop_
_atom_site_label
_atom_site_fract_x
_atom_site_fract_y
_atom_site_fract_z
Rh1 0.6386 0.1250 0.2500
Rh2 0.1114 0.6250 0.2500
Rh3 0.3750 0.3614 0.7500
Rh4 0.8750 0.8886 0.7500
Mg1 0.5000 0.5000 0.0000
Mg2 0.2500 0.7500 0.5000
Os1 0.0000 0.0000 0.0000
Os2 0.7500 0.2500 0.5000
```

E_tot: -6.362 eV/atom
Space group: I-42d
V: 66 Å³/f.u.


Entry 8:
The following is a DFT calculation (PBE-GGA) of crystalline Cs2HoTlCl6 at its relaxed geometry.

Cell and atoms, written as CIF:
```
data_Cs2HoTlCl6
_cell_length_a 7.9346
_cell_length_b 8.1884
_cell_length_c 11.3485
_cell_angle_alpha 90.00
_cell_angle_beta 89.95
_cell_angle_gamma 90.00
_space_group_name_H-M_alt 'P 1'
_space_group_IT_number 1
loop_
_space_group_symop_operation_xyz
'x,y,z'
loop_
_atom_site_label
_atom_site_fract_x
_atom_site_fract_y
_atom_site_fract_z
Cs1 0.0150 0.9456 0.2499
Cs2 0.5150 0.5544 0.7499
Cs3 0.9850 0.0544 0.7501
Cs4 0.4850 0.4456 0.2501
Ho1 0.5000 0.0000 0.5000
Ho2 0.0000 0.5000 0.0000
Tl1 0.5000 0.0000 0.0000
Tl2 0.0000 0.5000 0.5000
Cl1 0.2689 0.6833 0.0379
Cl2 0.7689 0.8167 0.5379
Cl3 0.7311 0.3167 0.9621
Cl4 0.2311 0.1833 0.4621
Cl5 0.3203 0.7339 0.4574
Cl6 0.8203 0.7661 0.9574
Cl7 0.6797 0.2661 0.5426
Cl8 0.1797 0.2339 0.0426
Cl9 0.9222 0.5212 0.2258
Cl10 0.4222 0.9788 0.7258
Cl11 0.0778 0.4788 0.7742
Cl12 0.5778 0.0212 0.2742
```

E_tot: -3.952 eV/atom
Space group: P2_1/c
V: 369 Å³/f.u.